Compound: LiV2Zn2Si2O10
Source: Alexandria via LeMat-Bulk
Functional: GGA+U
Structure: relaxed

Values from the calculation:
energy above the most stable polymorph in this dataset = 0 meV per atom
E_tot = -6.828 eV/atom

Lattice parameters (Å, degrees): 5.322 5.468 7.259 106.57 106.28 97.24
Element x y z (fractional)
Li (0.000, 0.000, 0.500)
V (0.500, 0.000, 0.500)
V (0.500, 0.000, 0.000)
Zn (0.261, 0.397, 0.822)
Zn (0.739, 0.603, 0.178)
Si (0.830, 0.625, 0.747)
Si (0.170, 0.375, 0.253)
O (0.637, 0.659, 0.893)
O (0.744, 0.775, 0.583)
O (0.363, 0.341, 0.107)
O (0.256, 0.225, 0.417)
O (0.170, 0.689, 0.354)
O (0.854, 0.259, 0.105)
O (0.830, 0.311, 0.646)
O (0.146, 0.741, 0.895)
O (0.608, 0.927, 0.268)
O (0.392, 0.073, 0.732)